First-principles (PBE) data for a relaxed MnOs2Au crystal, as listed in the Alexandria database.

Structure (POSCAR):
```
MnOs2Au
1.0
2.703 0.024 0.000
-1.259 2.392 0.000
0.000 0.000 9.337
Os Mn Au
2 1 1
direct
0.000 0.000 0.526
0.000 0.000 0.974
0.500 0.500 0.750
0.500 0.500 0.250
```

Values from the calculation:
Crystal system ... orthorhombic
Energy of formation ... 0.47 eV per atom
Symmetry ... Cmmm (65)
E_tot ... -8.259 eV per atom